Entry i
The following is a PBE-GGA calculation of an optimized crystal structure of TbNd2Al, from Alexandria.

Cell: 3.6791 3.6791 10.8929 Å, 80.28 80.28 60.00°
Last column: nearest neighbours and their distance in Å.
Fractional coordinates of all 4 atoms:
1 Tb 0.5002 0.5002 0.4995  6 Nd 3.68, 6 Tb 3.68
2 Nd 0.0730 0.0730 0.7811  3 Al 3.17
3 Nd 0.2605 0.2605 0.2185  3 Al 3.15
4 Al 0.6664 0.6664 0.0008  6 Nd 3.15-3.17

Properties
- spin magnetization (μB per formula unit) = 0.5

Entry ii
The following is a PBE-GGA calculation of an optimized crystal structure of TbNd2Al, from Alexandria.

Cell: 4.8776 4.8565 4.8565 Å, 90.00 90.00 90.00°
Last column: nearest neighbours and their distance in Å.
Fractional coordinates of all 4 atoms:
1 Nd 0.0000 0.0000 0.5000  4 Nd 3.43, 4 Tb 3.44, 4 Al 3.44
2 Nd 0.0000 0.5000 0.0000  4 Nd 3.43, 4 Al 3.44, 4 Tb 3.44
3 Tb 0.5000 0.5000 0.5000  4 Al 3.43, 8 Nd 3.44
4 Al 0.5000 0.0000 0.0000  4 Tb 3.43, 8 Nd 3.44

Properties
- spin magnetization (μB per formula unit) = 0.0

Of them, the most stable is entry ii and the least stable is entry i.

Entry i
The following is a PBE-GGA calculation of an optimized crystal structure of TbNd2Al, from Alexandria.

Cell: 5.3615 7.0510 7.0510 Å, 120.20 90.00 90.00°
Last column: nearest neighbours and their distance in Å.
Fractional coordinates of all 8 atoms:
1 Tb 0.5000 0.6457 0.8218  4 Al 3.28-3.55, 1 Tb 3.29, 5 Nd 3.31-3.45
2 Tb 0.5000 0.1782 0.3543  4 Al 3.28-3.55, 1 Tb 3.29, 5 Nd 3.31-3.45
3 Nd 0.5000 0.1771 0.8229  2 Tb 3.31, 4 Al 3.32-3.52, 4 Nd 3.45
4 Nd 0.0000 0.3552 0.1799  4 Nd 3.27-3.45, 4 Al 3.28-3.58, 2 Tb 3.43
5 Nd 0.0000 0.8201 0.6448  4 Nd 3.27-3.45, 4 Al 3.28-3.58, 2 Tb 3.43
6 Nd 0.0000 0.8216 0.1784  4 Al 3.29-3.52, 2 Nd 3.29, 4 Tb 3.45
7 Al 0.5000 0.6655 0.3345  8 Nd 3.28-3.52, 4 Tb 3.51-3.55
8 Al 0.0000 0.3368 0.6632  4 Tb 3.28, 8 Nd 3.32-3.58

Properties
- spin magnetization (μB per formula unit) = 0.0

Entry ii
The following is a PBE-GGA calculation of an optimized crystal structure of TbNd2Al, from Alexandria.

Cell: 5.4680 5.4680 5.4680 Å, 60.00 60.00 60.00°
Last column: nearest neighbours and their distance in Å.
Fractional coordinates of all 4 atoms:
1 Nd 0.2500 0.2500 0.2500  4 Tb 3.35, 4 Al 3.35
2 Nd 0.7500 0.7500 0.7500  4 Al 3.35, 4 Tb 3.35
3 Tb 0.0000 0.0000 0.0000  8 Nd 3.35
4 Al 0.5000 0.5000 0.5000  8 Nd 3.35

Properties
- spin magnetization (μB per formula unit) = 0.0

Of them, the most stable is entry i and the least stable is entry ii.

Entry i
The following is a PBE-GGA calculation of an optimized crystal structure of Tb6NdAl, from Alexandria.

Cell: 6.9498 6.9136 6.9822 Å, 60.32 75.43 59.45°
Last column: nearest neighbours and their distance in Å.
Fractional coordinates of all 8 atoms:
1 Tb 0.7433 0.4982 0.5633  1 Al 3.09, 3 Tb 3.20-3.46, 1 Nd 3.23
2 Tb 0.7433 0.0615 0.4367  1 Al 3.09, 3 Tb 3.20-3.46, 1 Nd 3.23
3 Tb 0.2567 0.9385 0.5633  1 Al 3.09, 3 Tb 3.20-3.46, 1 Nd 3.23
4 Tb 0.2567 0.5018 0.4367  1 Al 3.09, 3 Tb 3.20-3.46, 1 Nd 3.23
5 Tb 0.7367 0.7354 0.0000  1 Al 2.84, 1 Nd 3.18
6 Tb 0.2633 0.2646 0.0000  1 Al 2.84, 1 Nd 3.18
7 Nd 0.0000 0.0000 0.0000  6 Tb 3.18-3.23, 2 Al 3.44
8 Al 0.5000 0.5000 0.0000  6 Tb 2.84-3.09

Properties
- spin magnetization (μB per formula unit) = 0.7

Entry ii
The following is a PBE-GGA calculation of an optimized crystal structure of Tb6NdAl, from Alexandria.

Cell: 4.8836 4.8836 10.0548 Å, 90.00 90.00 90.00°
Last column: nearest neighbours and their distance in Å.
Fractional coordinates of all 8 atoms:
1 Tb 0.5000 0.5000 0.0000  8 Tb 3.41, 4 Al 3.45
2 Tb 0.5000 0.5000 0.5000  4 Nd 3.45, 8 Tb 3.60
3 Tb 0.5000 0.0000 0.2364  8 Tb 3.41-3.60, 2 Al 3.41, 2 Nd 3.60
4 Tb 0.5000 0.0000 0.7636  8 Tb 3.41-3.60, 2 Al 3.41, 2 Nd 3.60
5 Tb 0.0000 0.5000 0.2364  8 Tb 3.41-3.60, 2 Al 3.41, 2 Nd 3.60
6 Tb 0.0000 0.5000 0.7636  8 Tb 3.41-3.60, 2 Al 3.41, 2 Nd 3.60
7 Nd 0.0000 0.0000 0.5000  12 Tb 3.45-3.60
8 Al 0.0000 0.0000 0.0000  12 Tb 3.41-3.45

Properties
- spin magnetization (μB per formula unit) = 0.0

Of them, the most stable is entry ii and the least stable is entry i.

Entry i
The following is a PBE-GGA calculation of an optimized crystal structure of TbNd2Al2, from Alexandria.

Cell: 4.9452 5.8544 5.8544 Å, 71.63 65.02 65.02°
Last column: nearest neighbours and their distance in Å.
Fractional coordinates of all 5 atoms:
1 Tb 0.0000 0.0000 0.0000  4 Al 3.23, 4 Nd 3.48
2 Nd 0.8022 0.6978 0.6978  1 Nd 3.21, 6 Al 3.21-3.24, 2 Tb 3.48
3 Nd 0.1978 0.3022 0.3022  1 Nd 3.21, 6 Al 3.21-3.24, 2 Tb 3.48
4 Al 0.5000 0.6970 0.3030  1 Al 2.70
5 Al 0.5000 0.3030 0.6970  1 Al 2.70

Properties
- spin magnetization (μB per formula unit) = 0.0

Entry ii
The following is a PBE-GGA calculation of an optimized crystal structure of TbNd2Al2, from Alexandria.

Cell: 3.7003 6.2870 12.7768 Å, 83.25 90.00 90.00°
Last column: nearest neighbours and their distance in Å.
Fractional coordinates of all 10 atoms:
1 Tb 0.2500 0.5354 0.2102  5 Al 3.06-3.25
2 Tb 0.7500 0.4646 0.7898  5 Al 3.06-3.25
3 Nd 0.2500 0.9300 0.8588  4 Al 3.12-3.40
4 Nd 0.7500 0.0700 0.1412  4 Al 3.12-3.40
5 Nd 0.2500 0.2256 0.5720  4 Al 3.14-3.22
6 Nd 0.7500 0.7744 0.4280  4 Al 3.14-3.22
7 Al 0.2500 0.7124 0.6277  2 Tb 3.06, 5 Nd 3.14-3.40
8 Al 0.7500 0.2876 0.3723  2 Tb 3.06, 5 Nd 3.14-3.40
9 Al 0.2500 0.3487 0.9833  2 Al 2.72
10 Al 0.7500 0.6513 0.0167  2 Al 2.72

Properties
- spin magnetization (μB per formula unit) = 0.0

Of them, the most stable is entry i and the least stable is entry ii.